Record 1
Below is an optimized crystal structure of CsAuCl4, with properties calculated at the PBE level.

Results
Formation energy without anion corrections in eV/f.u.: -5.73
Magnetic moment in Bohr magnetons per cell: 0.00
Calculated volume in A^3/atom: 35.45

Lattice parameters (Å, degrees): 13.169 6.343 10.452 90.00 102.99 90.00
Space group C2/c (No. 15)
Asymmetric unit:
1 Cs 0.000 0.227 0.250 (multiplicity 4)
2 Au 0.250 0.250 0.000 (multiplicity 4)
3 Cl 0.070 0.271 0.930 (multiplicity 8)
4 Cl 0.231 0.025 0.639 (multiplicity 8)

Record 2
Below is an optimized crystal structure of Cs2AuCl, with properties calculated at the PBE level.

Results
Formation energy without anion corrections in eV/f.u.: -4.57
Magnetic moment in Bohr magnetons per cell: 0.00
Calculated volume in A^3/atom: 43.87

Lattice parameters (Å, degrees): 5.031 27.556 5.063 90.00 90.00 90.00
Space group Cmcm (No. 63)
Asymmetric unit:
1 Cs 0.000 0.064 0.250 (multiplicity 4)
2 Cs 0.000 0.316 0.250 (multiplicity 4)
3 Au 0.000 0.467 0.250 (multiplicity 4)
4 Cl 0.000 0.190 0.250 (multiplicity 4)

Record 3
Below is an optimized crystal structure of CsCu2AuCl8, with properties calculated at the PBE level.

Results
Formation energy without anion corrections in eV/f.u.: -7.56
Magnetic moment in Bohr magnetons per cell: 0.00
Calculated volume in A^3/atom: 30.01

Lattice parameters (Å, degrees): 6.5396 6.5396 9.7220 90.00 90.00 120.00
Space group P-3 (No. 147)
Asymmetric unit:
1 Cs 0.0000 0.0000 0.0000 (multiplicity 1)
2 Cu 0.3333 0.6667 0.7173 (multiplicity 2)
3 Au 0.0000 0.0000 0.5000 (multiplicity 1)
4 Cl 0.0255 0.3147 0.6529 (multiplicity 6)
5 Cl 0.3333 0.6667 0.9424 (multiplicity 2)

Record 4
Below is an optimized crystal structure of Cs2Cu2AuCl6, with properties calculated at the PBE level.

Results
Formation energy without anion corrections in eV/f.u.: -10.88
Magnetic moment in Bohr magnetons per cell: 0.00
Calculated volume in A^3/atom: 30.31

Lattice parameters (Å, degrees): 14.027 7.129 7.070 90.00 109.42 90.00
Space group C2/m (No. 12)
Asymmetric unit:
1 Cs 0.215 0.000 0.199 (multiplicity 4)
2 Cu 0.049 0.500 0.212 (multiplicity 4)
3 Au 0.000 0.000 0.500 (multiplicity 2)
4 Cl 0.044 0.248 0.768 (multiplicity 8)
5 Cl 0.213 0.500 0.266 (multiplicity 4)

Record 5
Below is an optimized crystal structure of Cs3CuAu2Cl6, with properties calculated at the PBE level.

Results
Formation energy without anion corrections in eV/f.u.: -11.80
Magnetic moment in Bohr magnetons per cell: 0.00
Calculated volume in A^3/atom: 38.07

Lattice parameters (Å, degrees): 7.7316 7.7316 8.8246 90.00 90.00 120.00
Space group P-3m1 (No. 164)
Asymmetric unit:
1 Cs 0.0000 0.0000 0.0000 (multiplicity 1)
2 Cs 0.3333 0.6667 0.6777 (multiplicity 2)
3 Cu 0.0000 0.0000 0.5000 (multiplicity 1)
4 Au 0.3333 0.6667 0.2889 (multiplicity 2)
5 Cl 0.1491 0.2982 0.3154 (multiplicity 6)

Record 6
Below is an optimized crystal structure of CsCuAu2Cl, with properties calculated at the PBE level.

Results
Formation energy without anion corrections in eV/f.u.: 1.49
Magnetic moment in Bohr magnetons per cell: 0.00
Calculated volume in A^3/atom: 32.77

Lattice parameters (Å, degrees): 6.213 6.213 4.244 90.00 90.00 90.00
Space group P4/mmm (No. 123)
Asymmetric unit:
1 Cs 0.000 0.000 0.000 (multiplicity 1)
2 Cu 0.500 0.500 0.000 (multiplicity 1)
3 Au 0.000 0.500 0.500 (multiplicity 2)
4 Cl 0.500 0.500 0.500 (multiplicity 1)

Record 7
Below is an optimized crystal structure of Cs2DyAuCl6, with properties calculated at the PBE level.

Results
Formation energy without anion corrections in eV/f.u.: -17.19
Magnetic moment in Bohr magnetons per cell: 0.00
Calculated volume in A^3/atom: 31.98

Lattice parameters (Å, degrees): 10.855 10.855 10.855 90.00 90.00 90.00
Space group Fm-3m (No. 225)
Asymmetric unit:
1 Cs 0.250 0.250 0.250 (multiplicity 8)
2 Dy 0.000 0.000 0.000 (multiplicity 4)
3 Au 0.000 0.000 0.500 (multiplicity 4)
4 Cl 0.000 0.000 0.244 (multiplicity 24)

Record 8
Below is an optimized crystal structure of Cs2ErAuCl6, with properties calculated at the PBE level.

Results
Formation energy without anion corrections in eV/f.u.: -17.20
Magnetic moment in Bohr magnetons per cell: 0.00
Calculated volume in A^3/atom: 31.62

Lattice parameters (Å, degrees): 10.815 10.815 10.815 90.00 90.00 90.00
Space group Fm-3m (No. 225)
Asymmetric unit:
1 Cs 0.250 0.250 0.250 (multiplicity 8)
2 Er 0.000 0.000 0.000 (multiplicity 4)
3 Au 0.000 0.000 0.500 (multiplicity 4)
4 Cl 0.000 0.000 0.242 (multiplicity 24)

Record 9
Below is an optimized crystal structure of Cs2AuCl6F, with properties calculated at the PBE level.

Results
Formation energy without anion corrections in eV/f.u.: -10.03
Magnetic moment in Bohr magnetons per cell: 0.00
Calculated volume in A^3/atom: 27.99

Lattice parameters (Å, degrees): 7.331 7.331 10.414 90.00 90.00 90.00
Space group I4/mmm (No. 139)
Asymmetric unit:
1 Cs 0.000 0.500 0.250 (multiplicity 4)
2 Au 0.000 0.000 0.000 (multiplicity 2)
3 Cl 0.000 0.000 0.231 (multiplicity 4)
4 Cl 0.232 0.232 0.000 (multiplicity 8)
5 F 0.000 0.000 0.500 (multiplicity 2)

Record 10
Below is an optimized crystal structure of CsAuCl2F, with properties calculated at the PBE level.

Results
Formation energy without anion corrections in eV/f.u.: -5.90
Magnetic moment in Bohr magnetons per cell: 0.00
Calculated volume in A^3/atom: 25.05

Lattice parameters (Å, degrees): 5.115 5.115 4.787 90.00 90.00 90.00
Space group P4/mmm (No. 123)
Asymmetric unit:
1 Cs 0.000 0.000 0.000 (multiplicity 1)
2 Au 0.500 0.500 0.500 (multiplicity 1)
3 Cl 0.000 0.500 0.500 (multiplicity 2)
4 F 0.500 0.500 0.000 (multiplicity 1)

Record 11
Below is an optimized crystal structure of Cs2AuClF6, with properties calculated at the PBE level.

Results
Formation energy without anion corrections in eV/f.u.: -16.30
Magnetic moment in Bohr magnetons per cell: 0.00
Calculated volume in A^3/atom: 21.66

Lattice parameters (Å, degrees): 6.795 6.795 9.381 90.00 90.00 90.00
Space group I4/mmm (No. 139)
Asymmetric unit:
1 Cs 0.000 0.500 0.250 (multiplicity 4)
2 Au 0.000 0.000 0.000 (multiplicity 2)
3 Cl 0.000 0.000 0.500 (multiplicity 2)
4 F 0.000 0.000 0.217 (multiplicity 4)
5 F 0.209 0.209 0.000 (multiplicity 8)

Record 12
Below is an optimized crystal structure of Cs8Au3Cl4F, with properties calculated at the PBE level.

Results
Formation energy without anion corrections in eV/f.u.: -22.46
Magnetic moment in Bohr magnetons per cell: 0.00
Calculated volume in A^3/atom: 45.09

Lattice parameters (Å, degrees): 17.428 10.042 10.010 90.00 124.56 90.00
Space group C2/m (No. 12)
Asymmetric unit:
1 Cs 0.004 0.225 0.236 (multiplicity 8)
2 Cs 0.241 0.500 0.733 (multiplicity 4)
3 Cs 0.245 0.000 0.735 (multiplicity 4)
4 Au 0.000 0.500 0.000 (multiplicity 2)
5 Au 0.250 0.250 0.000 (multiplicity 4)
6 Cl 0.000 0.000 0.500 (multiplicity 2)
7 Cl 0.000 0.500 0.500 (multiplicity 2)
8 Cl 0.250 0.250 0.500 (multiplicity 4)
9 F 0.000 0.000 0.000 (multiplicity 2)

Record 13
Below is an optimized crystal structure of Cs2AuCl4F2, with properties calculated at the PBE level.

Results
Formation energy without anion corrections in eV/f.u.: -11.74
Magnetic moment in Bohr magnetons per cell: 2.01
Calculated volume in A^3/atom: 29.44

Lattice parameters (Å, degrees): 6.882 6.882 11.188 90.00 90.00 90.00
Space group I4/mmm (No. 139)
Asymmetric unit:
1 Cs 0.000 0.500 0.250 (multiplicity 4)
2 Au 0.000 0.000 0.000 (multiplicity 2)
3 Cl 0.242 0.242 0.000 (multiplicity 8)
4 F 0.000 0.000 0.199 (multiplicity 4)

Record 14
Below is an optimized crystal structure of Cs4Au2ClF, with properties calculated at the PBE level.

Results
Formation energy without anion corrections in eV/f.u.: -10.19
Magnetic moment in Bohr magnetons per cell: 0.00
Calculated volume in A^3/atom: 43.10

Lattice parameters (Å, degrees): 14.042 13.988 9.852 90.00 134.54 90.00
Space group C2/c (No. 15)
Asymmetric unit:
1 Cs 0.000 0.229 0.008 (multiplicity 8)
2 Cs 0.220 0.004 0.471 (multiplicity 8)
3 Au 0.000 0.500 0.000 (multiplicity 4)
4 Au 0.250 0.250 0.000 (multiplicity 4)
5 Cl 0.250 0.250 0.500 (multiplicity 4)
6 F 0.000 0.000 0.000 (multiplicity 4)

Record 15
Below is an optimized crystal structure of Cs4AuClF2, with properties calculated at the PBE level.

Results
Formation energy without anion corrections in eV/f.u.: -14.65
Magnetic moment in Bohr magnetons per cell: 0.00
Calculated volume in A^3/atom: 39.56

Lattice parameters (Å, degrees): 11.632 11.633 9.354 90.00 90.00 90.00
Space group Fmm2 (No. 42)
Asymmetric unit:
1 Cs 0.000 0.249 0.000 (multiplicity 8)
2 Cs 0.249 0.000 0.492 (multiplicity 8)
3 Au 0.000 0.000 0.746 (multiplicity 4)
4 Cl 0.000 0.000 0.246 (multiplicity 4)
5 F 0.250 0.250 0.497 (multiplicity 8)

Record 16
Below is an optimized crystal structure of Cs2GaAuCl6, with properties calculated at the PBE level.

Results
Formation energy without anion corrections in eV/f.u.: -12.72
Magnetic moment in Bohr magnetons per cell: 0.00
Calculated volume in A^3/atom: 31.66

Lattice parameters (Å, degrees): 7.870 7.870 10.224 90.00 90.00 90.00
Space group I4/mmm (No. 139)
Asymmetric unit:
1 Cs 0.000 0.500 0.250 (multiplicity 4)
2 Ga 0.000 0.000 0.000 (multiplicity 2)
3 Au 0.000 0.000 0.500 (multiplicity 2)
4 Cl 0.000 0.000 0.272 (multiplicity 4)
5 Cl 0.208 0.208 0.000 (multiplicity 8)

Record 17
Below is an optimized crystal structure of Cs2GeAuCl6, with properties calculated at the PBE level.

Results
Formation energy without anion corrections in eV/f.u.: -11.56
Magnetic moment in Bohr magnetons per cell: 0.00
Calculated volume in A^3/atom: 28.75

Lattice parameters (Å, degrees): 7.350 7.350 10.643 90.00 90.00 90.00
Space group I4/mmm (No. 139)
Asymmetric unit:
1 Cs 0.000 0.500 0.250 (multiplicity 4)
2 Ge 0.000 0.000 0.000 (multiplicity 2)
3 Au 0.000 0.000 0.500 (multiplicity 2)
4 Cl 0.000 0.000 0.238 (multiplicity 4)
5 Cl 0.245 0.245 0.000 (multiplicity 8)

Record 18
Below is an optimized crystal structure of Cs5HAu2Cl, with properties calculated at the PBE level.

Results
Magnetic moment in Bohr magnetons per cell: 0.00
Calculated volume in A^3/atom: 45.97
Electronic total energy in eV per atom: -2.37

Lattice parameters (Å, degrees): 5.143 20.878 15.414 90.00 90.00 90.00
Space group Cmc2_1 (No. 36)
Asymmetric unit:
1 Cs 0.000 0.008 0.000 (multiplicity 4)
2 Cs 0.000 0.133 0.220 (multiplicity 4)
3 Cs 0.000 0.178 0.585 (multiplicity 4)
4 Cs 0.000 0.216 0.887 (multiplicity 4)
5 Cs 0.000 0.459 0.269 (multiplicity 4)
6 H 0.000 0.033 0.681 (multiplicity 4)
7 Au 0.000 0.362 0.530 (multiplicity 4)
8 Au 0.000 0.391 0.910 (multiplicity 4)
9 Cl 0.000 0.298 0.233 (multiplicity 4)

Record 19
Below is an optimized crystal structure of Cs4HAu2Cl, with properties calculated at the PBE level.

Results
Magnetic moment in Bohr magnetons per cell: 0.04
Calculated volume in A^3/atom: 45.06
Electronic total energy in eV per atom: -2.57

Lattice parameters (Å, degrees): 8.663 5.000 8.805 90.00 109.07 90.00
Space group P2/m (No. 10)
Asymmetric unit:
1 Cs 0.234 0.000 0.225 (multiplicity 2)
2 Cs 0.248 0.500 0.769 (multiplicity 2)
3 H 0.000 0.500 0.000 (multiplicity 1)
4 Au 0.000 0.000 0.500 (multiplicity 1)
5 Au 0.500 0.500 0.500 (multiplicity 1)
6 Cl 0.500 0.000 0.000 (multiplicity 1)

Record 20
Below is an optimized crystal structure of Cs2HAuCl, with properties calculated at the PBE level.

Results
Magnetic moment in Bohr magnetons per cell: 0.00
Calculated volume in A^3/atom: 30.50
Electronic total energy in eV per atom: -2.88

Lattice parameters (Å, degrees): 6.178 6.178 3.996 90.00 90.00 90.00
Space group P4/mmm (No. 123)
Asymmetric unit:
1 Cs 0.000 0.500 0.000 (multiplicity 2)
2 H 0.000 0.000 0.000 (multiplicity 1)
3 Au 0.000 0.000 0.500 (multiplicity 1)
4 Cl 0.500 0.500 0.500 (multiplicity 1)

Record 21
Below is an optimized crystal structure of CsHAuCl6, with properties calculated at the PBE level.

Results
Magnetic moment in Bohr magnetons per cell: 0.99
Calculated volume in A^3/atom: 35.89
Electronic total energy in eV per atom: -2.72

Lattice parameters (Å, degrees): 6.644 6.715 7.686 87.57 70.55 89.75
Space group P1 (No. 1)
Asymmetric unit:
1 Cs 0.000 0.000 0.000 (multiplicity 1)
2 H 0.476 0.420 0.073 (multiplicity 1)
3 Au 0.035 0.480 0.482 (multiplicity 1)
4 Cl 0.148 0.488 0.737 (multiplicity 1)
5 Cl 0.228 0.774 0.368 (multiplicity 1)
6 Cl 0.462 0.224 0.107 (multiplicity 1)
7 Cl 0.485 0.722 0.026 (multiplicity 1)
8 Cl 0.851 0.187 0.594 (multiplicity 1)
9 Cl 0.909 0.487 0.234 (multiplicity 1)

Record 22
Below is an optimized crystal structure of Cs8HAu4Cl3, with properties calculated at the PBE level.

Results
Magnetic moment in Bohr magnetons per cell: 0.16
Calculated volume in A^3/atom: 46.37
Electronic total energy in eV per atom: -2.71

Lattice parameters (Å, degrees): 10.1055 10.1055 25.1643 90.00 90.00 120.00
Space group R-3m (No. 166, hexagonal axes)
Asymmetric unit:
1 Cs 0.0000 0.0000 0.2456 (multiplicity 6)
2 Cs 0.0076 0.5038 0.2436 (multiplicity 18)
3 H 0.0000 0.0000 0.5000 (multiplicity 3)
4 Au 0.0000 0.0000 0.0000 (multiplicity 3)
5 Au 0.0000 0.5000 0.0000 (multiplicity 9)
6 Cl 0.0000 0.5000 0.5000 (multiplicity 9)